Crystalline AcPmNdTh at its relaxed geometry, computed with PBE.

## Properties
DFT total energy	-5.074	eV per atom
density of states at the Fermi level	8.7	states/eV/f.u.
ΔE_f	0.188	eV per atom
E above lowest polymorph	13.9	kJ per mole of atoms
magnetization	0.00	μB/f.u.

The structure in CIF format:
```
data_AcPmNdTh
_chemical_formula_sum 'Ac4 Pm4 Nd4 Th4'
_space_group_name_H-M_alt 'F -4 3 m'
_space_group_IT_number 216
_space_group_name_Hall 'F -4 2 3'
_cell_length_a 8.347
_cell_length_b 8.347
_cell_length_c 8.347
_cell_angle_alpha 90.00
_cell_angle_beta 90.00
_cell_angle_gamma 90.00
loop_
_atom_site_label
_atom_site_type_symbol
_atom_site_fract_x
_atom_site_fract_y
_atom_site_fract_z
Ac1 Ac 0.000 0.000 0.000
Pm1 Pm 0.250 0.250 0.750
Nd1 Nd 0.250 0.250 0.250
Th1 Th 0.000 0.000 0.500
```

Crystalline Li2InAgF6 at its relaxed geometry, computed with PBE.

## Properties
energy relative to the elements, uncorrected	-2.371	eV per atom
DFT total energy	-4.435	eV per atom
density of states at the Fermi level	0.0	states/eV/f.u.
magnetization	0.12	μB/f.u.

The structure in CIF format:
```
data_Li2InAgF6
_chemical_formula_sum 'Li6 In3 Ag3 F18'
_space_group_name_H-M_alt 'R 3'
_space_group_IT_number 146
_space_group_name_Hall 'R 3'
_cell_length_a 5.5123
_cell_length_b 5.5123
_cell_length_c 14.8346
_cell_angle_alpha 90.00
_cell_angle_beta 90.00
_cell_angle_gamma 120.00
loop_
_atom_site_label
_atom_site_type_symbol
_atom_site_fract_x
_atom_site_fract_y
_atom_site_fract_z
Li1 Li 0.0000 0.0000 0.0000
Li2 Li 0.0000 0.0000 0.4947
In1 In 0.0000 0.0000 0.7903
Ag1 Ag 0.0000 0.0000 0.2710
F1 F 0.0050 0.3258 0.0616
F2 F 0.0856 0.7364 0.5530
```

Crystalline Cs4RbBr5 at its relaxed geometry, computed with PBE.

## Properties
energy relative to the elements, uncorrected	-1.774	eV per atom
DFT total energy	-3.049	eV per atom
density of states at the Fermi level	0.0	states/eV/f.u.
magnetization	0.01	μB/f.u.

The structure in CIF format:
```
data_Cs4RbBr5
_chemical_formula_sum 'Cs8 Rb2 Br10'
_space_group_name_H-M_alt 'I 4/m m m'
_space_group_IT_number 139
_space_group_name_Hall '-I 4 2'
_cell_length_a 5.168
_cell_length_b 5.168
_cell_length_c 36.466
_cell_angle_alpha 90.00
_cell_angle_beta 90.00
_cell_angle_gamma 90.00
loop_
_atom_site_label
_atom_site_type_symbol
_atom_site_fract_x
_atom_site_fract_y
_atom_site_fract_z
Cs1 Cs 0.000 0.000 0.099
Cs2 Cs 0.000 0.000 0.301
Rb1 Rb 0.000 0.000 0.500
Br1 Br 0.000 0.000 0.000
Br2 Br 0.000 0.000 0.200
Br3 Br 0.000 0.000 0.403
```

Crystalline AgOsPb2 at its relaxed geometry, computed with PBE.

## Properties
DFT total energy	-4.590	eV per atom
density of states at the Fermi level	2.7	states/eV/f.u.
ΔE_f	0.784	eV per atom
E above lowest polymorph	17.5	kJ per mole of atoms
magnetization	0.00	μB/f.u.

The structure in CIF format:
```
data_AgOsPb2
_chemical_formula_sum 'Ag4 Os4 Pb8'
_space_group_name_H-M_alt 'I -4 2 d'
_space_group_IT_number 122
_space_group_name_Hall 'I -4 2bw'
_cell_length_a 9.539
_cell_length_b 9.539
_cell_length_c 5.536
_cell_angle_alpha 90.00
_cell_angle_beta 90.00
_cell_angle_gamma 90.00
loop_
_atom_site_label
_atom_site_type_symbol
_atom_site_fract_x
_atom_site_fract_y
_atom_site_fract_z
Ag1 Ag 0.000 0.000 0.000
Os1 Os 0.000 0.000 0.500
Pb1 Pb 0.067 0.250 0.625
```

Crystalline LiLaZr3 at its relaxed geometry, computed with PBE.

## Properties
DFT total energy	-5.273	eV per atom
density of states at the Fermi level	11.4	states/eV/f.u.
ΔE_f	1.224	eV per atom
E above lowest polymorph	57.5	kJ per mole of atoms
magnetization	0.00	μB/f.u.

The structure in CIF format:
```
data_LiLaZr3
_chemical_formula_sum 'Li1 La1 Zr3'
_space_group_name_H-M_alt 'P m -3 m'
_space_group_IT_number 221
_space_group_name_Hall '-P 4 2 3'
_cell_length_a 5.232
_cell_length_b 5.232
_cell_length_c 5.232
_cell_angle_alpha 90.00
_cell_angle_beta 90.00
_cell_angle_gamma 90.00
loop_
_atom_site_label
_atom_site_type_symbol
_atom_site_fract_x
_atom_site_fract_y
_atom_site_fract_z
Li1 Li 0.000 0.000 0.000
La1 La 0.500 0.500 0.500
Zr1 Zr 0.000 0.500 0.500
```

Crystalline SrMg3 at its relaxed geometry, computed with PBE.

## Properties
DFT total energy	-1.599	eV per atom
density of states at the Fermi level	2.8	states/eV/f.u.
ΔE_f	0.017	eV per atom
magnetization	0.00	μB/f.u.

The structure in CIF format:
```
data_SrMg3
_chemical_formula_sum 'Sr1 Mg3'
_space_group_name_H-M_alt 'P m -3 m'
_space_group_IT_number 221
_space_group_name_Hall '-P 4 2 3'
_cell_length_a 4.946
_cell_length_b 4.946
_cell_length_c 4.946
_cell_angle_alpha 90.00
_cell_angle_beta 90.00
_cell_angle_gamma 90.00
loop_
_atom_site_label
_atom_site_type_symbol
_atom_site_fract_x
_atom_site_fract_y
_atom_site_fract_z
Sr1 Sr 0.000 0.000 0.000
Mg1 Mg 0.000 0.500 0.500
```

Repeat the first record exactly.
Crystalline AcPmNdTh at its relaxed geometry, computed with PBE.

## Properties
DFT total energy	-5.074	eV per atom
density of states at the Fermi level	8.7	states/eV/f.u.
ΔE_f	0.188	eV per atom
E above lowest polymorph	13.9	kJ per mole of atoms
magnetization	0.00	μB/f.u.

The structure in CIF format:
```
data_AcPmNdTh
_chemical_formula_sum 'Ac4 Pm4 Nd4 Th4'
_space_group_name_H-M_alt 'F -4 3 m'
_space_group_IT_number 216
_space_group_name_Hall 'F -4 2 3'
_cell_length_a 8.347
_cell_length_b 8.347
_cell_length_c 8.347
_cell_angle_alpha 90.00
_cell_angle_beta 90.00
_cell_angle_gamma 90.00
loop_
_atom_site_label
_atom_site_type_symbol
_atom_site_fract_x
_atom_site_fract_y
_atom_site_fract_z
Ac1 Ac 0.000 0.000 0.000
Pm1 Pm 0.250 0.250 0.750
Nd1 Nd 0.250 0.250 0.250
Th1 Th 0.000 0.000 0.500
```

Q: The highest magnetization belongs to which entry?
A: Li2InAgF6

Q: Which value of density of states at the Fermi level does entry 1 give?
A: 8.7 states/eV/f.u.

Q: Among the records above, which one has the highest DFT total energy?
A: SrMg3